The following is a DFT calculation (PBE) of a relaxed ZrBi3I crystal.

Unit cell a=5.7014 b=5.7014 c=5.7014 alpha=90.00 beta=90.00 gamma=90.00
With the nearest neighbours (Å) after each atom.
Sites, in units of the cell vectors:
Zr (0.0000, 0.0000, 0.0000)  6 Bi 2.85
Bi (0.0000, 0.0000, 0.5000)  2 Zr 2.85
Bi (0.0000, 0.5000, 0.0000)  2 Zr 2.85
Bi (0.5000, 0.0000, 0.0000)  2 Zr 2.85
I (0.5000, 0.5000, 0.5000)  12 Bi 4.03

**Calculated density**: 7572 kg/m3
**Distance to the lowest polymorph of the same formula**: 0 meV per atom
**Raw formation energy**: 0.14 eV per atom